A relaxed GeH2S crystal, computed with GGA-PBE.

The structure in POSCAR format:
```
GeH2S
1.0
3.4738 0.0000 0.0000
-1.7340 3.0102 0.0000
-0.5275 -1.6562 7.7221
Ge H S
1 2 1
direct
0.0000 0.0000 0.0000
0.4802 0.0478 0.5463
0.6001 0.0075 0.6180
0.7418 0.4304 0.1764
```

Values from the calculation:
Offset from the most stable computed form in eV per atom: 0.0000
V in A^3/atom: 20.2
M_tot in μB per cell: 0.0
Symmetry: P1